# 1
AcErSiIr | GGA-PBE | relaxed

Structure (CIF):
```
data_AcErSiIr
_chemical_formula_sum 'Ac4 Er4 Si4 Ir4'
_symmetry_space_group_name_H-M 'F -4 3 m'
_symmetry_Int_Tables_number 216
_symmetry_space_group_name_Hall 'F -4 2 3'
_cell_length_a 7.2585
_cell_length_b 7.2585
_cell_length_c 7.2585
_cell_angle_alpha 90.00
_cell_angle_beta 90.00
_cell_angle_gamma 90.00
loop_
_atom_site_label
_atom_site_fract_x
_atom_site_fract_y
_atom_site_fract_z
Ac1 0.0000 0.0000 0.0000
Er1 0.0000 0.0000 0.5000
Si1 0.2500 0.2500 0.2500
Ir1 0.2500 0.2500 0.7500
```

Summary:
The total energy comes out at -98.25 eV for the cell shown.

# 2
AcErSnIr | GGA-PBE | relaxed

Structure (CIF):
```
data_AcErSnIr
_chemical_formula_sum 'Ac4 Er4 Sn4 Ir4'
_symmetry_space_group_name_H-M 'F -4 3 m'
_symmetry_Int_Tables_number 216
_symmetry_space_group_name_Hall 'F -4 2 3'
_cell_length_a 7.5050
_cell_length_b 7.5050
_cell_length_c 7.5050
_cell_angle_alpha 90.00
_cell_angle_beta 90.00
_cell_angle_gamma 90.00
loop_
_atom_site_label
_atom_site_fract_x
_atom_site_fract_y
_atom_site_fract_z
Ac1 0.0000 0.0000 0.0000
Er1 0.0000 0.0000 0.5000
Sn1 0.2500 0.2500 0.2500
Ir1 0.2500 0.2500 0.7500
```

Summary:
The energy of formation from the pure elements is -0.42 eV/atom.